Material: Ni2Hg3
Method: DFT, meta-GGA SCAN
State: PBEsol geometry

Summary:
As for the calculated formation energy: 1.68 eV per formula unit. The value obtained for the total magnetization is 0.00 μB per formula unit.

Unit cell a=3.064 b=3.064 c=10.541 alpha=81.64 beta=81.64 gamma=60.00
Sites, in units of the cell vectors:
Hg1 0.792 0.792 0.624
Hg2 0.208 0.208 0.376
Hg3 0.000 0.000 0.000
Ni1 0.604 0.604 0.188
Ni2 0.396 0.396 0.812